DFT (GGA-PBE) results for K2ZrAl2 after structural relaxation.

Cell and atoms, written as extended XYZ:
```
5
Lattice="7.411 2.829 -2.961 3.989 7.300 -1.578 -4.622 -5.072 4.960" Properties=species:S:1:pos:R:3 pbc="T T T"
K 2.534 3.646 0.556
K 4.244 1.411 -0.135
Zr 0.000 0.000 0.000
Al 6.589 5.855 -2.624
Al 4.811 4.274 -1.916
```

Properties
calculated formation energy: 0.565 eV/atom
crystal system: tetragonal
magnetic moment: 0.00 μB per cell